No. 1
A plane-wave DFT calculation with GGA-PBE was carried out for a relaxed structure of CrBrCl2.

**Formation energy (no corrections)**: -0.076 eV per atom
**Crystal system**: tetragonal
**N(E_F)**: 3.70 states/eV/f.u.
**E above lowest polymorph**: 809 meV/atom

a = 3.2045 Å, b = 3.2045 Å, c = 9.2372 Å
α = 90.00°, β = 90.00°, γ = 90.00°
Fractional positions:
Cr1 0.0000 0.0000 0.0000
Br1 0.5000 0.5000 0.1786
Cl1 0.0000 0.0000 0.5061
Cl2 0.5000 0.5000 0.8439

No. 2
A plane-wave DFT calculation with GGA-PBE was carried out for a relaxed structure of Cr2BrCl.

**Formation energy (no corrections)**: 0.582 eV per atom
**Crystal system**: cubic
**N(E_F)**: 4.26 states/eV/f.u.
**E above lowest polymorph**: 764 meV/atom

a = 7.0623 Å, b = 7.0623 Å, c = 7.0623 Å
α = 90.00°, β = 90.00°, γ = 90.00°
Fractional positions:
Cr1 0.0000 0.0000 0.0000
Cr2 0.0000 0.5000 0.5000
Cr3 0.2500 0.2500 0.2500
Cr4 0.2500 0.7500 0.7500
Cr5 0.5000 0.0000 0.5000
Cr6 0.5000 0.5000 0.0000
Cr7 0.7500 0.2500 0.7500
Cr8 0.7500 0.7500 0.2500
Br1 0.2500 0.2500 0.7500
Br2 0.2500 0.7500 0.2500
Br3 0.7500 0.2500 0.2500
Br4 0.7500 0.7500 0.7500
Cl1 0.0000 0.0000 0.5000
Cl2 0.0000 0.5000 0.0000
Cl3 0.5000 0.0000 0.0000
Cl4 0.5000 0.5000 0.5000

No. 3
A plane-wave DFT calculation with GGA-PBE was carried out for a relaxed structure of CrBrCl.

**Formation energy (no corrections)**: -0.654 eV per atom
**Crystal system**: triclinic
**N(E_F)**: 0.91 states/eV/f.u.
**E above lowest polymorph**: 121 meV/atom

a = 3.3209 Å, b = 7.2507 Å, c = 7.2669 Å
α = 97.46°, β = 103.12°, γ = 102.89°
Fractional positions:
Cr1 0.0849 0.0311 0.1402
Cr2 0.9151 0.9689 0.8598
Br1 0.2441 0.7079 0.7712
Br2 0.7559 0.2921 0.2288
Cl1 0.4580 0.1607 0.7581
Cl2 0.5420 0.8393 0.2419

No. 4
A plane-wave DFT calculation with GGA-PBE was carried out for a relaxed structure of Cs2CrBrCl5.

**Formation energy (no corrections)**: -1.399 eV per atom
**Crystal system**: tetragonal
**N(E_F)**: 10.87 states/eV/f.u.

a = 7.4404 Å, b = 7.4404 Å, c = 7.4404 Å
α = 119.03°, β = 119.03°, γ = 91.69°
Fractional positions:
Cs1 0.0000 0.5000 0.5000
Cs2 0.5000 0.0000 0.5000
Cr1 0.2491 0.2491 0.0000
Br1 0.4891 0.4891 0.0000
Cl1 0.0268 0.0268 0.0000
Cl2 0.0334 0.0334 0.5666
Cl3 0.0334 0.4668 0.0000
Cl4 0.4668 0.0334 0.0000
Cl5 0.4668 0.4668 0.4334

No. 5
A plane-wave DFT calculation with GGA-PBE was carried out for a relaxed structure of CsCrBr2Cl.

**Formation energy (no corrections)**: -1.203 eV per atom
**Crystal system**: tetragonal
**N(E_F)**: 1.08 states/eV/f.u.

a = 5.3987 Å, b = 5.3987 Å, c = 5.0353 Å
α = 90.00°, β = 90.00°, γ = 90.00°
Fractional positions:
Cs1 0.0000 0.0000 0.0000
Cr1 0.5000 0.5000 0.5000
Br1 0.0000 0.5000 0.5000
Br2 0.5000 0.0000 0.5000
Cl1 0.5000 0.5000 0.0000

No. 6
A plane-wave DFT calculation with GGA-PBE was carried out for a relaxed structure of Cs2CrBr4Cl2.

**Formation energy (no corrections)**: -1.227 eV per atom
**Crystal system**: monoclinic
**N(E_F)**: 10.87 states/eV/f.u.

a = 7.5506 Å, b = 7.5506 Å, c = 6.4162 Å
α = 91.06°, β = 91.06°, γ = 58.78°
Fractional positions:
Cs1 0.1711 0.1711 0.2585
Cs2 0.8289 0.8289 0.7415
Cr1 0.5000 0.5000 0.5000
Br1 0.1882 0.6634 0.2678
Br2 0.3366 0.8118 0.7322
Br3 0.6634 0.1882 0.2678
Br4 0.8118 0.3366 0.7322
Cl1 0.3527 0.3527 0.6926
Cl2 0.6473 0.6473 0.3074

No. 7
A plane-wave DFT calculation with GGA-PBE was carried out for a relaxed structure of CrGa2BrCl.

**Formation energy (no corrections)**: 0.601 eV per atom
**Crystal system**: tetragonal
**N(E_F)**: 5.54 states/eV/f.u.

a = 5.7606 Å, b = 5.7606 Å, c = 4.5572 Å
α = 90.00°, β = 90.00°, γ = 90.00°
Fractional positions:
Cr1 0.0000 0.0000 0.0000
Ga1 0.0000 0.5000 0.5000
Ga2 0.5000 0.0000 0.5000
Br1 0.5000 0.5000 0.0000
Cl1 0.0000 0.0000 0.5000

No. 8
A plane-wave DFT calculation with GGA-PBE was carried out for a relaxed structure of CrGaBr2Cl.

**Formation energy (no corrections)**: -0.613 eV per atom
**Crystal system**: tetragonal
**N(E_F)**: 0.67 states/eV/f.u.

a = 5.2754 Å, b = 5.2754 Å, c = 4.8141 Å
α = 90.00°, β = 90.00°, γ = 90.00°
Fractional positions:
Cr1 0.0000 0.0000 0.0000
Ga1 0.5000 0.5000 0.5000
Br1 0.0000 0.5000 0.0000
Br2 0.5000 0.0000 0.0000
Cl1 0.0000 0.0000 0.5000

No. 9
A plane-wave DFT calculation with GGA-PBE was carried out for a relaxed structure of Cr2IBrCl.

**Formation energy (no corrections)**: 0.595 eV per atom
**Crystal system**: tetragonal
**N(E_F)**: 3.49 states/eV/f.u.

a = 4.8306 Å, b = 4.8306 Å, c = 6.7701 Å
α = 90.00°, β = 90.00°, γ = 90.00°
Fractional positions:
Cr1 0.0000 0.5000 0.0000
Cr2 0.5000 0.0000 0.0000
I1 0.0000 0.0000 0.5000
Br1 0.5000 0.5000 0.5000
Cl1 0.0000 0.0000 0.0000

No. 10
A plane-wave DFT calculation with GGA-PBE was carried out for a relaxed structure of CrInBrCl2.

**Formation energy (no corrections)**: -0.797 eV per atom
**Crystal system**: tetragonal
**N(E_F)**: 0.93 states/eV/f.u.

a = 4.9321 Å, b = 4.9321 Å, c = 5.3426 Å
α = 90.00°, β = 90.00°, γ = 90.00°
Fractional positions:
Cr1 0.0000 0.0000 0.0000
In1 0.5000 0.5000 0.5000
Br1 0.0000 0.0000 0.5000
Cl1 0.0000 0.5000 0.0000
Cl2 0.5000 0.0000 0.0000

No. 11
A plane-wave DFT calculation with GGA-PBE was carried out for a relaxed structure of CrIn2Br2Cl2.

**Formation energy (no corrections)**: -0.729 eV per atom
**Crystal system**: monoclinic
**N(E_F)**: 0.04 states/eV/f.u.

a = 17.7838 Å, b = 3.6742 Å, c = 6.7730 Å
α = 90.00°, β = 112.38°, γ = 90.00°
Fractional positions:
Cr1 0.0000 0.0000 0.0000
Cr2 0.5000 0.5000 0.0000
In1 0.1685 0.0000 0.6694
In2 0.3315 0.5000 0.3306
In3 0.6685 0.5000 0.6694
In4 0.8315 0.0000 0.3306
Br1 0.1846 0.0000 0.1839
Br2 0.3154 0.5000 0.8161
Br3 0.6846 0.5000 0.1839
Br4 0.8154 0.0000 0.8161
Cl1 0.0002 0.5000 0.2334
Cl2 0.9998 0.5000 0.7665
Cl3 0.5002 0.0000 0.2334
Cl4 0.4998 0.0000 0.7665

No. 12
A plane-wave DFT calculation with GGA-PBE was carried out for a relaxed structure of KCrBrCl2.

**Formation energy (no corrections)**: -1.266 eV per atom
**Crystal system**: tetragonal
**N(E_F)**: 0.94 states/eV/f.u.

a = 4.9501 Å, b = 4.9501 Å, c = 5.3375 Å
α = 90.00°, β = 90.00°, γ = 90.00°
Fractional positions:
K1 0.0000 0.0000 0.0000
Cr1 0.5000 0.5000 0.5000
Br1 0.5000 0.5000 0.0000
Cl1 0.0000 0.5000 0.5000
Cl2 0.5000 0.0000 0.5000

No. 13
A plane-wave DFT calculation with GGA-PBE was carried out for a relaxed structure of KCr2BrCl.

**Formation energy (no corrections)**: 0.011 eV per atom
**Crystal system**: tetragonal
**N(E_F)**: 0.47 states/eV/f.u.

a = 4.7015 Å, b = 4.7015 Å, c = 7.4986 Å
α = 90.00°, β = 90.00°, γ = 90.00°
Fractional positions:
K1 0.0000 0.0000 0.0000
Cr1 0.0000 0.5000 0.5000
Cr2 0.5000 0.0000 0.5000
Br1 0.5000 0.5000 0.0000
Cl1 0.5000 0.5000 0.5000

No. 14
A plane-wave DFT calculation with GGA-PBE was carried out for a relaxed structure of NaCrBrCl2.

**Formation energy (no corrections)**: -1.097 eV per atom
**Crystal system**: tetragonal
**N(E_F)**: 1.20 states/eV/f.u.

a = 4.8684 Å, b = 4.8684 Å, c = 5.3510 Å
α = 90.00°, β = 90.00°, γ = 90.00°
Fractional positions:
Na1 0.0000 0.0000 0.0000
Cr1 0.5000 0.5000 0.5000
Br1 0.5000 0.5000 0.0000
Cl1 0.0000 0.5000 0.5000
Cl2 0.5000 0.0000 0.5000

No. 15
A plane-wave DFT calculation with GGA-PBE was carried out for a relaxed structure of CrPb3Br6Cl2.

**Formation energy (no corrections)**: -0.866 eV per atom
**Crystal system**: monoclinic
**N(E_F)**: 4.53 states/eV/f.u.

a = 8.4976 Å, b = 8.4976 Å, c = 6.5263 Å
α = 91.76°, β = 91.76°, γ = 60.03°
Fractional positions:
Cr1 0.0000 0.0000 0.0000
Pb1 0.0000 0.5000 0.0000
Pb2 0.5000 0.0000 0.0000
Pb3 0.5000 0.5000 0.5000
Br1 0.1388 0.1388 0.7657
Br2 0.1530 0.6926 0.7595
Br3 0.3074 0.8470 0.2405
Br4 0.6926 0.1530 0.7595
Br5 0.8470 0.3074 0.2405
Br6 0.8612 0.8612 0.2343
Cl1 0.3283 0.3283 0.2579
Cl2 0.6717 0.6717 0.7421

No. 16
A plane-wave DFT calculation with GGA-PBE was carried out for a relaxed structure of CrPb3Br2Cl6.

**Formation energy (no corrections)**: -0.993 eV per atom
**Crystal system**: monoclinic
**N(E_F)**: 4.08 states/eV/f.u.

a = 8.2677 Å, b = 8.2677 Å, c = 6.4405 Å
α = 92.96°, β = 92.96°, γ = 59.52°
Fractional positions:
Cr1 0.0000 0.0000 0.0000
Pb1 0.0000 0.5000 0.0000
Pb2 0.5000 0.0000 0.0000
Pb3 0.5000 0.5000 0.5000
Br1 0.3116 0.3116 0.6901
Br2 0.6884 0.6884 0.3099
Cl1 0.1445 0.1445 0.2130
Cl2 0.1638 0.7012 0.2228
Cl3 0.2988 0.8362 0.7772
Cl4 0.7012 0.1638 0.2228
Cl5 0.8362 0.2988 0.7772
Cl6 0.8555 0.8555 0.7870

No. 17
A plane-wave DFT calculation with GGA-PBE was carried out for a relaxed structure of CrPdBr2Cl.

**Formation energy (no corrections)**: 0.680 eV per atom
**Crystal system**: tetragonal
**N(E_F)**: 7.79 states/eV/f.u.

a = 5.8048 Å, b = 5.8048 Å, c = 4.4371 Å
α = 90.00°, β = 90.00°, γ = 90.00°
Fractional positions:
Cr1 0.0000 0.0000 0.0000
Pd1 0.5000 0.5000 0.0000
Br1 0.0000 0.5000 0.5000
Br2 0.5000 0.0000 0.5000
Cl1 0.5000 0.5000 0.5000

No. 18
A plane-wave DFT calculation with GGA-PBE was carried out for a relaxed structure of Rb2CrBr4Cl2.

**Formation energy (no corrections)**: -1.218 eV per atom
**Crystal system**: tetragonal
**N(E_F)**: 10.44 states/eV/f.u.

a = 7.5010 Å, b = 7.5010 Å, c = 7.5010 Å
α = 122.71°, β = 122.71°, γ = 85.36°
Fractional positions:
Rb1 0.2500 0.7500 0.5000
Rb2 0.7500 0.2500 0.5000
Cr1 0.0000 0.0000 0.0000
Br1 0.2444 0.2444 0.4889
Br2 0.2444 0.7556 0.0000
Br3 0.7556 0.2444 0.0000
Br4 0.7556 0.7556 0.5111
Cl1 0.2112 0.2112 0.0000
Cl2 0.7888 0.7888 0.0000

No. 19
A plane-wave DFT calculation with GGA-PBE was carried out for a relaxed structure of Rb2CrBr2Cl2.

**Formation energy (no corrections)**: -1.438 eV per atom
**Crystal system**: orthorhombic
**N(E_F)**: 0.11 states/eV/f.u.
**E above lowest polymorph**: 0 meV/atom

a = 9.1780 Å, b = 9.1780 Å, c = 7.2887 Å
α = 90.00°, β = 90.00°, γ = 46.82°
Fractional positions:
Rb1 0.1352 0.1352 0.0000
Rb2 0.3648 0.3648 0.5000
Rb3 0.6352 0.6352 0.5000
Rb4 0.8648 0.8648 0.0000
Cr1 0.0000 0.0000 0.5000
Cr2 0.5000 0.5000 0.0000
Br1 0.1547 0.1547 0.5000
Br2 0.3453 0.3453 0.0000
Br3 0.6547 0.6547 0.0000
Br4 0.8453 0.8453 0.5000
Cl1 0.2349 0.7651 0.7353
Cl2 0.2651 0.7349 0.2353
Cl3 0.7349 0.2651 0.7647
Cl4 0.7651 0.2349 0.2647

No. 20
A plane-wave DFT calculation with GGA-PBE was carried out for a relaxed structure of Rb2CrBr2Cl4.

**Formation energy (no corrections)**: -1.315 eV per atom
**Crystal system**: tetragonal
**N(E_F)**: 11.58 states/eV/f.u.

a = 7.2401 Å, b = 7.2401 Å, c = 7.2401 Å
α = 118.76°, β = 118.76°, γ = 92.16°
Fractional positions:
Rb1 0.2500 0.7500 0.5000
Rb2 0.7500 0.2500 0.5000
Cr1 0.0000 0.0000 0.0000
Br1 0.2472 0.2472 0.0000
Br2 0.7528 0.7528 0.0000
Cl1 0.2216 0.2216 0.4433
Cl2 0.2216 0.7784 0.0000
Cl3 0.7784 0.2216 0.0000
Cl4 0.7784 0.7784 0.5567